# Ni3GeO GGA+U optimized geometry
# - SG: Pm-3m (221)
# - DFT total energy: -3.34 eV per atom
# - Energy above the most stable polymorph in this dataset: 0.0 meV/atom
data_Ni3GeO
_chemical_formula_sum 'Ni3 Ge1 O1'
_space_group_name_H-M_alt 'P 1'
_space_group_IT_number 1
_space_group_name_Hall 'P 1'
_cell_length_a 3.9708
_cell_length_b 3.9708
_cell_length_c 3.9708
_cell_angle_alpha 90.00
_cell_angle_beta 90.00
_cell_angle_gamma 90.00
loop_
_atom_site_label
_atom_site_fract_x
_atom_site_fract_y
_atom_site_fract_z
Ni1 0.0000 0.5000 0.0000
Ni2 0.5000 0.0000 0.0000
Ni3 0.0000 0.0000 0.5000
Ge1 0.5000 0.5000 0.5000
O1 0.0000 0.0000 0.0000